# PBE-GGA Tm8Co3Ag2, relaxed
# formation enthalpy at 0 K: -129 meV/atom
data_Tm8Co3Ag2
_chemical_formula_sum 'Tm8 Co3 Ag2'
_cell_length_a 8.520
_cell_length_b 4.681
_cell_length_c 8.529
_cell_angle_alpha 90.00
_cell_angle_beta 112.64
_cell_angle_gamma 90.00
_space_group_name_H-M_alt 'P 1 2/m 1'
_space_group_IT_number 10
_space_group_name_Hall '-P 2y'
loop_
_atom_site_label
_atom_site_fract_x
_atom_site_fract_y
_atom_site_fract_z
_atom_site_occupancy
Tm1 0.111 0.000 0.389 1
Tm2 0.141 0.500 0.866 1
Tm3 0.365 0.500 0.642 1
Tm4 0.388 0.000 0.113 1
Co1 0.252 0.000 0.753 1
Co2 0.500 0.500 0.000 1
Ag1 0.246 0.500 0.255 1